# 1
VASP calculation (GGA-PBE) on crystalline La2BiIr2 at its relaxed geometry.

- calculated formation energy (meV/atom) = -638
- distance to the lowest polymorph of the same formula (kJ/mol of formula units) = 0

POSCAR file:
```
La2BiIr2
1.0
7.8328 0.0000 0.0000
0.0000 7.8328 0.0000
0.0000 0.0000 4.0252
Bi La Ir
2 4 4
direct
0.0000 0.0000 0.0000 Bi
0.5000 0.5000 0.0000 Bi
0.3219 0.1781 0.5000 La
0.6781 0.8219 0.5000 La
0.8219 0.3219 0.5000 La
0.1781 0.6781 0.5000 La
0.6217 0.1217 0.0000 Ir
0.3783 0.8783 0.0000 Ir
0.8783 0.6217 0.0000 Ir
0.1217 0.3783 0.0000 Ir
```

# 2
VASP calculation (GGA-PBE) on crystalline FeTcS3 at its relaxed geometry.

- formation energy without anion corrections (kcal/mol of atoms) = 15.11
- distance to the lowest polymorph of the same formula (kJ/mol of formula units) = 0

POSCAR file:
```
FeTcS3
1.0
4.6194 0.0000 0.0000
0.0000 4.6194 0.0000
0.0000 0.0000 4.6194
S Tc Fe
3 1 1
direct
0.5000 0.0000 0.0000 S
0.0000 0.0000 0.5000 S
0.0000 0.5000 0.0000 S
0.0000 0.0000 0.0000 Tc
0.5000 0.5000 0.5000 Fe
```

# 3
VASP calculation (GGA-PBE) on crystalline Cs2ZrAgI6 at its relaxed geometry.

- formation energy without anion corrections (kcal/mol of atoms) = -22.91
- distance to the lowest polymorph of the same formula (kJ/mol of formula units) = 0

POSCAR file:
```
Cs2ZrAgI6
1.0
8.4506 0.0000 0.0000
4.2253 7.3184 0.0000
4.2253 2.4395 14.0401
I Ag Cs Zr
12 2 4 2
direct
0.8742 0.3723 0.3813 I
0.2045 0.7119 0.8791 I
0.7119 0.2045 0.8791 I
0.6277 0.1258 0.6187 I
0.1258 0.6277 0.6187 I
0.3723 0.3723 0.3813 I
0.6277 0.6277 0.6187 I
0.7955 0.2881 0.1209 I
0.3723 0.8742 0.3813 I
0.2881 0.7955 0.1209 I
0.2045 0.2045 0.8791 I
0.7955 0.7955 0.1209 I
0.5800 0.5800 0.2600 Ag
0.4200 0.4200 0.7400 Ag
0.1219 0.1219 0.6343 Cs
0.7046 0.7046 0.8861 Cs
0.2954 0.2954 0.1139 Cs
0.8781 0.8781 0.3657 Cs
0.0000 0.0000 0.0000 Zr
0.5000 0.5000 0.5000 Zr
```

# 4
VASP calculation (GGA-PBE) on crystalline Sn2GeSb2 at its relaxed geometry.

- formation energy without anion corrections (kcal/mol of atoms) = 4.86
- distance to the lowest polymorph of the same formula (kJ/mol of formula units) = 0

POSCAR file:
```
Sn2GeSb2
1.0
-5.1963 -2.6667 5.6655
5.9366 -4.4393 3.3554
1.0336 3.2577 2.4814
Sn Sb Ge
4 4 2
direct
0.8563 0.3563 0.5000 Sn
0.1437 0.6437 0.5000 Sn
0.6437 0.8563 0.5000 Sn
0.3563 0.1437 0.5000 Sn
0.1648 0.3352 0.0000 Sb
0.6648 0.1648 0.0000 Sb
0.8352 0.6648 0.0000 Sb
0.3352 0.8352 0.0000 Sb
0.0000 0.0000 0.0000 Ge
0.5000 0.5000 0.0000 Ge
```

# 5
VASP calculation (GGA-PBE) on crystalline BaYSe4 at its relaxed geometry.

- formation energy without anion corrections (kcal/mol of atoms) = -8.05

POSCAR file:
```
BaYSe4
1.0
1.8922 2.1428 5.3442
-4.0346 1.4484 4.2845
-0.4900 -3.4183 4.9808
Ba Y Se
1 1 4
direct
0.0000 0.0000 0.0000 Ba
0.7500 0.7500 0.7500 Y
0.3761 0.3761 0.3761 Se
0.8718 0.3761 0.3761 Se
0.3761 0.8718 0.3761 Se
0.3761 0.3761 0.8718 Se
```

# 6
VASP calculation (GGA-PBE) on crystalline Y2CrPt at its relaxed geometry.

- calculated formation energy (meV/atom) = -122
- distance to the lowest polymorph of the same formula (kJ/mol of formula units) = 113

POSCAR file:
```
Y2CrPt
1.0
-6.6693 -2.4096 3.2797
-7.2497 -2.8311 -0.6847
-5.2244 -5.6466 1.3653
Cr Pt Y
1 1 2
direct
0.2500 0.2500 0.2500 Cr
0.7500 0.7500 0.7500 Pt
0.0114 0.0114 0.0114 Y
0.4886 0.4886 0.4886 Y
```

# 7
VASP calculation (GGA-PBE) on crystalline Rb2RePI6 at its relaxed geometry.

- formation energy without anion corrections (kcal/mol of atoms) = -6.10

POSCAR file:
```
Rb2RePI6
1.0
8.2180 0.0000 0.0000
0.0000 8.2180 0.0000
4.1090 4.1090 5.7897
I Rb Re P
6 2 1 1
direct
0.2426 0.7574 0.0000 I
0.7563 0.7563 0.4875 I
0.7574 0.2426 0.0000 I
0.2437 0.2437 0.5125 I
0.7574 0.7574 0.0000 I
0.2426 0.2426 0.0000 I
0.7500 0.2500 0.5000 Rb
0.2500 0.7500 0.5000 Rb
0.0000 0.0000 0.0000 Re
0.5000 0.5000 0.0000 P
```

# 8
VASP calculation (GGA-PBE) on crystalline Ac2HgAs2O6 at its relaxed geometry.

- formation energy without anion corrections (kcal/mol of atoms) = -49.75

POSCAR file:
```
Ac2HgAs2O6
1.0
-5.1580 2.9844 -2.0065
-5.7907 -3.9437 -0.1244
0.0013 1.4873 6.3220
O Ac Hg As
6 2 1 2
direct
0.0093 0.3448 0.1348 O
0.9907 0.6552 0.8652 O
0.6227 0.2630 0.0125 O
0.3773 0.7370 0.9875 O
0.2763 0.6404 0.5769 O
0.7237 0.3596 0.4231 O
0.7076 0.4877 0.7953 Ac
0.2924 0.5123 0.2047 Ac
0.5000 0.0000 0.5000 Hg
0.8808 0.1871 0.2186 As
0.1192 0.8129 0.7814 As
```

# 9
VASP calculation (GGA-PBE) on crystalline Tm3Se3N at its relaxed geometry.

- formation energy without anion corrections (kcal/mol of atoms) = -42.35

POSCAR file:
```
Tm3Se3N
1.0
-3.8537 0.2687 0.3585
-1.3952 -9.5772 -7.8192
0.3621 -8.3290 10.1371
Se Tm N
12 12 4
direct
0.7500 0.7218 0.8137 Se
0.2500 0.2782 0.1863 Se
0.7500 0.8995 0.5977 Se
0.7500 0.2218 0.6863 Se
0.7500 0.3995 0.9023 Se
0.2500 0.6005 0.0977 Se
0.2500 0.8710 0.0079 Se
0.2500 0.7782 0.3137 Se
0.2500 0.3710 0.4921 Se
0.7500 0.6290 0.5079 Se
0.7500 0.1290 0.9921 Se
0.2500 0.1005 0.4023 Se
0.7500 0.4439 0.1348 Tm
0.7500 0.3026 0.3540 Tm
0.2500 0.1974 0.8540 Tm
0.2500 0.0561 0.6348 Tm
0.2500 0.0454 0.1480 Tm
0.2500 0.6974 0.6460 Tm
0.7500 0.9439 0.3652 Tm
0.2500 0.5561 0.8652 Tm
0.7500 0.9546 0.8520 Tm
0.2500 0.5454 0.3520 Tm
0.7500 0.8026 0.1460 Tm
0.7500 0.4546 0.6480 Tm
0.2500 0.5305 0.7031 N
0.7500 0.4695 0.2969 N
0.7500 0.9695 0.2031 N
0.2500 0.0305 0.7969 N
```

# 10
VASP calculation (GGA-PBE) on crystalline LiTb2Er at its relaxed geometry.

- calculated formation energy (meV/atom) = 83
- distance to the lowest polymorph of the same formula (kJ/mol of formula units) = 5

POSCAR file:
```
LiTb2Er
1.0
-0.6275 3.1399 -1.3891
-0.7394 0.2910 -3.3986
-11.3662 -0.0319 0.6781
Tb Li Er
2 1 1
direct
0.2490 0.2490 0.2535 Tb
0.0849 0.0849 0.7467 Tb
0.4996 0.4996 0.4997 Li
0.6665 0.6665 0.0000 Er
```

# 11
VASP calculation (GGA-PBE) on crystalline CuGePb3 at its relaxed geometry.

- calculated formation energy (meV/atom) = 782
- distance to the lowest polymorph of the same formula (kJ/mol of formula units) = 177

POSCAR file:
```
CuGePb3
1.0
5.5411 0.0000 0.0000
0.0000 5.5411 0.0000
0.0000 0.0000 5.5411
Pb Ge Cu
3 1 1
direct
0.5000 0.0000 0.0000 Pb
0.0000 0.0000 0.5000 Pb
0.0000 0.5000 0.0000 Pb
0.0000 0.0000 0.0000 Ge
0.5000 0.5000 0.5000 Cu
```

# 12
VASP calculation (GGA-PBE) on crystalline CrHgW2 at its relaxed geometry.

- calculated formation energy (meV/atom) = 612

POSCAR file:
```
CrHgW2
1.0
2.7898 0.0000 0.0000
0.0000 2.7898 0.0000
0.0000 0.0000 8.6181
Hg W Cr
1 2 1
direct
0.5000 0.5000 0.7394 Hg
0.0000 0.0000 0.0114 W
0.5000 0.5000 0.2662 W
0.0000 0.0000 0.4830 Cr
```

# 13
VASP calculation (GGA-PBE) on crystalline Ac2Al3CdPt4 at its relaxed geometry.

- calculated formation energy (meV/atom) = -978

POSCAR file:
```
Ac2Al3CdPt4
1.0
-2.8596 1.9149 -2.8129
-3.3136 -0.7308 2.8711
1.8827 9.5880 4.6132
Pt Ac Al Cd
4 2 3 1
direct
0.0000 0.5000 0.3488 Pt
0.0000 0.0000 0.0000 Pt
0.5000 0.5000 0.0000 Pt
0.5000 0.0000 0.6512 Pt
0.5000 0.0000 0.2448 Ac
0.0000 0.5000 0.7552 Ac
0.5000 0.0000 0.8857 Al
0.0000 0.5000 0.1143 Al
0.0000 0.0000 0.5000 Al
0.5000 0.5000 0.5000 Cd
```

# 14
VASP calculation (GGA-PBE) on crystalline PmPr2ZrAs4 at its relaxed geometry.

- calculated formation energy (meV/atom) = -1394

POSCAR file:
```
PmPr2ZrAs4
1.0
4.1665 0.0000 0.0000
0.0000 7.2174 0.1368
0.0000 -2.5112 6.7787
As Pm Pr Zr
4 1 2 1
direct
0.5000 0.2328 0.2301 As
0.0000 0.2427 0.7630 As
0.5000 0.7672 0.7699 As
0.0000 0.7573 0.2370 As
0.5000 0.5000 0.0000 Pm
0.5000 0.0000 0.5000 Pr
0.0000 0.5000 0.5000 Pr
0.0000 0.0000 0.0000 Zr
```

# 15
VASP calculation (GGA-PBE) on crystalline Ba2SrBr6 at its relaxed geometry.

- formation energy without anion corrections (kcal/mol of atoms) = -49.36

POSCAR file:
```
Ba2SrBr6
1.0
-7.2152 0.3766 -1.6176
0.2065 -6.9516 -2.5399
-3.2856 -5.0248 13.4853
Br Ba Sr
12 4 2
direct
0.1905 0.8095 0.1591 Br
0.3095 0.3095 0.6591 Br
0.7960 0.2040 0.5000 Br
0.7040 0.7040 0.0000 Br
0.6905 0.6905 0.6591 Br
0.8095 0.1905 0.8409 Br
0.1905 0.8095 0.8409 Br
0.2960 0.2960 0.0000 Br
0.3095 0.3095 0.3409 Br
0.8095 0.1905 0.1591 Br
0.6905 0.6905 0.3409 Br
0.2040 0.7960 0.5000 Br
0.0000 0.0000 0.6665 Ba
0.5000 0.5000 0.1665 Ba
0.5000 0.5000 0.8335 Ba
0.0000 0.0000 0.3335 Ba
0.0000 0.0000 0.0000 Sr
0.5000 0.5000 0.5000 Sr
```

# 16
VASP calculation (GGA-PBE) on crystalline LuPuTh2 at its relaxed geometry.

- calculated formation energy (meV/atom) = 156
- distance to the lowest polymorph of the same formula (kJ/mol of formula units) = 30

POSCAR file:
```
LuPuTh2
1.0
5.5258 0.0000 0.0000
2.7629 4.7854 0.0000
2.7629 1.5951 4.5118
Th Lu Pu
2 1 1
direct
0.7500 0.7500 0.7500 Th
0.2500 0.2500 0.2500 Th
0.5000 0.5000 0.5000 Lu
0.0000 0.0000 0.0000 Pu
```

# 17
VASP calculation (GGA-PBE) on crystalline Zr5B2As at its relaxed geometry.

- calculated formation energy (meV/atom) = -625

POSCAR file:
```
Zr5B2As
1.0
6.0000 0.0000 -2.8323
-1.3370 5.8491 -2.8323
0.0089 0.0111 7.7902
B As Zr
4 2 10
direct
0.1035 0.3965 0.0000 B
0.6035 0.1035 0.0000 B
0.8965 0.6035 0.0000 B
0.3965 0.8965 0.0000 B
0.2500 0.2500 0.5000 As
0.7500 0.7500 0.5000 As
0.8072 0.9616 0.2688 Zr
0.5384 0.6928 0.7312 Zr
0.4616 0.3072 0.2688 Zr
0.9616 0.4616 0.2688 Zr
0.0000 0.0000 0.0000 Zr
0.6928 0.1928 0.7312 Zr
0.1928 0.0384 0.7312 Zr
0.0384 0.5384 0.7312 Zr
0.3072 0.8072 0.2688 Zr
0.5000 0.5000 0.0000 Zr
```

# 18
VASP calculation (GGA-PBE) on crystalline MnNbGeHI at its relaxed geometry.

- distance to the lowest polymorph of the same formula (kJ/mol of formula units) = 83

POSCAR file:
```
MnNbGeHI
1.0
-3.3817 0.8471 1.4514
-1.5684 -0.5601 -3.3273
0.3908 -6.6693 0.9385
Mn I Nb H Ge
1 1 1 1 1
direct
0.5644 0.5000 0.8630 Mn
0.0237 0.5000 0.5341 I
0.3942 0.5000 0.1553 Nb
0.5131 0.0000 0.2437 H
0.8935 0.0000 0.9956 Ge
```

# 19
VASP calculation (GGA-PBE) on crystalline Zr5Tc4Au at its relaxed geometry.

- calculated formation energy (meV/atom) = -420

POSCAR file:
```
Zr5Tc4Au
1.0
3.3224 0.0000 0.0000
0.0000 3.3224 0.0000
0.0000 0.0000 16.6574
Zr Tc Au
5 4 1
direct
0.5000 0.5000 0.6954 Zr
0.5000 0.5000 0.5000 Zr
0.5000 0.5000 0.3046 Zr
0.5000 0.5000 0.1117 Zr
0.5000 0.5000 0.8883 Zr
0.0000 0.0000 0.2015 Tc
0.0000 0.0000 0.7985 Tc
0.0000 0.0000 0.5991 Tc
0.0000 0.0000 0.4009 Tc
0.0000 0.0000 0.0000 Au
```

# 20
VASP calculation (GGA-PBE) on crystalline BaNbNi2 at its relaxed geometry.

- calculated formation energy (meV/atom) = 543
- distance to the lowest polymorph of the same formula (kJ/mol of formula units) = 0

POSCAR file:
```
BaNbNi2
1.0
-0.9004 -4.7309 1.6519
4.7270 -1.3589 -1.3154
4.5043 -1.0181 7.3850
Ni Nb Ba
4 2 2
direct
0.3750 0.6250 0.7500 Ni
0.8750 0.6250 0.7500 Ni
0.3750 0.1250 0.2500 Ni
0.3750 0.6250 0.2500 Ni
0.2500 0.7500 0.5000 Nb
0.5000 0.5000 0.0000 Nb
0.0000 0.0000 0.0000 Ba
0.7500 0.2500 0.5000 Ba
```

no.,spin magnetization (μB per cell)
1,0.00
2,3.51
3,2.00
4,0.00
5,0.80
6,4.25
7,3.96
8,0.00
9,0.00
10,0.00
11,0.00
12,2.85
13,0.00
14,0.00
15,0.00
16,6.76
17,0.00
18,0.46
19,0.00
20,0.00